[1]
A crystal of La3Nb8O24 relaxed with PBEsol, computed with meta-GGA SCAN.

Output
Magnetization: 0.0000 μB/atom
Energy relative to the elements, uncorrected: -3.03 eV per atom
V: 991 Å³ per cell
Energy: -18.5669 eV per atom

```
data_La3Nb8O24
_chemical_formula_sum 'La6 Nb16 O48'
_space_group_name_H-M_alt 'C 1 2/m 1'
_space_group_IT_number 12
_space_group_name_Hall '-C 2y'
_cell_length_a 15.7946
_cell_length_b 7.8583
_cell_length_c 8.9034
_cell_angle_alpha 90.00
_cell_angle_beta 116.27
_cell_angle_gamma 90.00
loop_
_atom_site_label
_atom_site_fract_x
_atom_site_fract_y
_atom_site_fract_z
_atom_site_occupancy
La1 0.0000 0.0000 0.0000 1
La2 0.2450 0.0000 0.9996 1
Nb1 0.0587 0.2540 0.7403 1
Nb2 0.1877 0.2526 0.2589 1
O1 0.0000 0.2775 0.5000 1
O2 0.0579 0.2382 0.2327 1
O3 0.0652 0.0000 0.7447 1
O4 0.0795 0.5000 0.7938 1
O5 0.1240 0.2102 0.9992 1
O6 0.1836 0.5000 0.2138 1
O7 0.1900 0.0000 0.2453 1
O8 0.1970 0.2495 0.7874 1
O9 0.2500 0.2500 0.5000 1
```

[2]
A crystal of LaNb3O9 relaxed with PBEsol, computed with meta-GGA SCAN.

Output
Magnetization: 0.0000 μB/atom
Energy relative to the elements, uncorrected: -2.99 eV per atom
V: 744 Å³ per cell
Energy: -18.2614 eV per atom

```
data_LaNb3O9
_chemical_formula_sum 'La4 Nb12 O36'
_space_group_name_H-M_alt 'C 1 m 1'
_space_group_IT_number 8
_space_group_name_Hall 'C -2y'
_cell_length_a 16.7607
_cell_length_b 5.5663
_cell_length_c 9.7636
_cell_angle_alpha 90.00
_cell_angle_beta 125.22
_cell_angle_gamma 90.00
loop_
_atom_site_label
_atom_site_fract_x
_atom_site_fract_y
_atom_site_fract_z
_atom_site_occupancy
La1 0.0000 0.0000 0.0000 1
La2 0.1591 0.5000 0.9991 1
Nb1 0.0740 0.0000 0.7328 1
Nb2 0.0858 0.5000 0.2669 1
Nb3 0.2432 0.5000 0.7509 1
Nb4 0.2561 0.0000 0.2578 1
Nb5 0.4033 0.0000 0.7407 1
Nb6 0.4164 0.5000 0.2488 1
O1 0.0047 0.2501 0.7721 1
O2 0.0066 0.5000 0.9974 1
O3 0.1532 0.0000 0.0008 1
O4 0.1555 0.2505 0.2261 1
O5 0.1650 0.5000 0.5041 1
O6 0.1664 0.2579 0.7716 1
O7 0.3192 0.2620 0.2275 1
O8 0.3304 0.0000 0.4989 1
O9 0.3314 0.5000 0.9992 1
O10 0.3406 0.2623 0.7692 1
O11 0.4945 0.2584 0.2284 1
O12 0.4955 0.5000 0.4949 1
```

[3]
A crystal of LaNbO2 relaxed with PBEsol, computed with meta-GGA SCAN.

Output
Magnetization: 0.0000 μB/atom
Energy relative to the elements, uncorrected: -1.78 eV per atom
V: 209 Å³ per cell
Energy: -23.9528 eV per atom

```
data_LaNbO2
_chemical_formula_sum 'La4 Nb4 O8'
_space_group_name_H-M_alt 'F m -3 m'
_space_group_IT_number 225
_space_group_name_Hall '-F 4 2 3'
_cell_length_a 5.9311
_cell_length_b 5.9311
_cell_length_c 5.9311
_cell_angle_alpha 90.00
_cell_angle_beta 90.00
_cell_angle_gamma 90.00
loop_
_atom_site_label
_atom_site_fract_x
_atom_site_fract_y
_atom_site_fract_z
_atom_site_occupancy
La1 0.0000 0.0000 0.0000 1
Nb1 0.0000 0.0000 0.5000 1
O1 0.2500 0.2500 0.2500 1
```